# 1
{
  "formula": "LaDyPd2",
  "functional": "PBE-GGA",
  "state": "optimized geometry",
  "lattice_angstrom": [[3.522, 0.000, 0.000], [0.000, 3.522, 0.000], [0.000, 0.000, 7.441]],
  "species": ["La", "Dy", "Pd", "Pd"],
  "frac_coords": [[0.000, 0.000, 0.000], [0.000, 0.000, 0.500], [0.500, 0.500, 0.276], [0.500, 0.500, 0.724]],
  "density_kg_m3": 9249,
  "de_polymorph_ev_per_atom": 0.049,
  "e_form_mev_per_atom": -815,
  "magnetic_moment_mub_per_fu": 0.00
}

# 2
{
  "formula": "Cs2AlSbBr6",
  "functional": "PBE-GGA",
  "state": "optimized geometry",
  "lattice_angstrom": [[0.000, 5.653, 5.653], [5.653, 0.000, 5.653], [5.653, 5.653, 0.000]],
  "species": ["Cs", "Cs", "Al", "Sb", "Br", "Br", "Br", "Br", "Br", "Br"],
  "frac_coords": [[0.250, 0.250, 0.250], [0.750, 0.750, 0.750], [0.000, 0.000, 0.000], [0.500, 0.500, 0.500], [0.240, 0.240, 0.760], [0.240, 0.760, 0.240], [0.240, 0.760, 0.760], [0.760, 0.240, 0.240], [0.760, 0.240, 0.760], [0.760, 0.760, 0.240]],
  "density_kg_m3": 4109,
  "raw_formation_energy_ev_per_atom": -1.09,
  "magnetic_moment_mub_per_fu": 0.00
}

# 3
{
  "formula": "AlZn2Cd2Au5",
  "functional": "PBE-GGA",
  "state": "optimized geometry",
  "lattice_angstrom": [[11.172, 0.000, 0.000], [0.000, 11.172, 0.000], [0.000, 0.000, 3.021]],
  "species": ["Al", "Al", "Zn", "Zn", "Zn", "Zn", "Cd", "Cd", "Cd", "Cd", "Au", "Au", "Au", "Au", "Au", "Au", "Au", "Au", "Au", "Au"],
  "frac_coords": [[0.000, 0.000, 0.000], [0.500, 0.500, 0.000], [0.140, 0.360, 0.000], [0.360, 0.860, 0.000], [0.640, 0.140, 0.000], [0.860, 0.640, 0.000], [0.155, 0.655, 0.000], [0.345, 0.155, 0.000], [0.655, 0.845, 0.000], [0.845, 0.345, 0.000], [0.000, 0.500, 0.500], [0.116, 0.159, 0.500], [0.159, 0.884, 0.500], [0.341, 0.384, 0.500], [0.384, 0.659, 0.500], [0.500, 0.000, 0.500], [0.616, 0.341, 0.500], [0.659, 0.616, 0.500], [0.841, 0.116, 0.500], [0.884, 0.841, 0.500]],
  "density_kg_m3": 12045,
  "e_form_mev_per_atom": -202,
  "magnetic_moment_mub_per_fu": 0.00
}

# 4
{
  "formula": "HoEr3Sc3",
  "functional": "PBE-GGA",
  "state": "optimized geometry",
  "lattice_angstrom": [[9.178, 0.000, 0.000], [-4.589, 7.948, 0.000], [0.000, 0.000, 5.406]],
  "species": ["Ho", "Ho", "Er", "Er", "Er", "Er", "Er", "Er", "Sc", "Sc", "Sc", "Sc", "Sc", "Sc"],
  "frac_coords": [[0.333, 0.667, 0.250], [0.667, 0.333, 0.750], [0.047, 0.243, 0.250], [0.196, 0.953, 0.250], [0.243, 0.196, 0.750], [0.757, 0.804, 0.250], [0.804, 0.047, 0.750], [0.953, 0.757, 0.750], [0.095, 0.480, 0.750], [0.385, 0.905, 0.750], [0.480, 0.385, 0.250], [0.520, 0.615, 0.750], [0.615, 0.095, 0.250], [0.905, 0.520, 0.250]],
  "density_kg_m3": 6750,
  "de_polymorph_ev_per_atom": 0.000,
  "e_form_mev_per_atom": 20,
  "magnetic_moment_mub_per_fu": 0.80
}

# 5
{
  "formula": "Tl5Sn4Hg2",
  "functional": "PBE-GGA",
  "state": "optimized geometry",
  "lattice_angstrom": [[11.664, -2.256, 0.000], [11.664, 2.256, 0.000], [-1.714, 0.000, 6.600]],
  "species": ["Tl", "Tl", "Tl", "Tl", "Tl", "Sn", "Sn", "Sn", "Sn", "Hg", "Hg"],
  "frac_coords": [[0.000, 0.000, 0.000], [0.311, 0.311, 0.499], [0.379, 0.379, 0.010], [0.621, 0.621, 0.990], [0.689, 0.689, 0.501], [0.096, 0.096, 0.637], [0.460, 0.460, 0.642], [0.540, 0.540, 0.358], [0.904, 0.904, 0.363], [0.232, 0.232, 0.852], [0.768, 0.768, 0.148]],
  "density_kg_m3": 9073,
  "e_form_mev_per_atom": 55,
  "magnetic_moment_mub_per_fu": 0.00
}

# 6
{
  "formula": "Li3NpCl9",
  "functional": "PBE-GGA",
  "state": "optimized geometry",
  "lattice_angstrom": [[9.071, -4.376, 0.000], [9.071, 4.376, 0.000], [-8.272, 0.000, 11.735]],
  "species": ["Li", "Li", "Li", "Li", "Li", "Li", "Np", "Np", "Cl", "Cl", "Cl", "Cl", "Cl", "Cl", "Cl", "Cl", "Cl", "Cl", "Cl", "Cl", "Cl", "Cl", "Cl", "Cl", "Cl", "Cl"],
  "frac_coords": [[0.129, 0.871, 0.500], [0.290, 0.879, 0.284], [0.376, 0.992, 0.180], [0.871, 0.129, 0.000], [0.879, 0.290, 0.784], [0.992, 0.376, 0.680], [0.165, 0.517, 0.598], [0.517, 0.165, 0.098], [0.053, 0.628, 0.438], [0.056, 0.099, 0.656], [0.099, 0.056, 0.156], [0.220, 0.784, 0.356], [0.221, 0.366, 0.001], [0.269, 0.406, 0.757], [0.366, 0.221, 0.501], [0.396, 0.602, 0.695], [0.406, 0.269, 0.257], [0.429, 0.929, 0.003], [0.561, 0.816, 0.296], [0.602, 0.396, 0.195], [0.628, 0.053, 0.938], [0.784, 0.220, 0.856], [0.808, 0.964, 0.195], [0.816, 0.561, 0.796], [0.929, 0.429, 0.503], [0.964, 0.808, 0.695]],
  "density_kg_m3": 2056,
  "raw_formation_energy_ev_per_atom": -1.43,
  "magnetic_moment_mub_per_fu": 0.85
}